# Ga4Ni

A relaxed Ga4Ni crystal (PBE, Alexandria).

* space-group type: I-42m, No. 121
* E_form: -0.134 eV/atom
* Fermi-level density of states: 0.801 states/eV/f.u.
* total moment: 0.000 μB/atom

Cell: 5.421 5.421 5.802 Å, 90.00 90.00 90.00°
Sites, in units of the cell vectors:
Ga: 0.290 0.710 0.175
Ga: 0.790 0.790 0.325
Ga: 0.210 0.210 0.325
Ni: 0.500 0.500 0.500
Ga: 0.710 0.710 0.825
Ni: 0.000 0.000 0.000
Ga: 0.710 0.290 0.175
Ga: 0.210 0.790 0.675
Ga: 0.790 0.210 0.675
Ga: 0.290 0.290 0.825



# Ga3Ni11

A relaxed Ga3Ni11 crystal (PBE, Alexandria).

* space-group type: Immm, No. 71
* E_form: -0.003 eV/atom
* Fermi-level density of states: 20.066 states/eV/f.u.
* total moment: 0.209 μB/atom

Cell: 3.825 6.909 6.909 Å, 85.03 73.93 73.93°
Last column: magnetic moment on the atom in μB.
Sites, in units of the cell vectors:
Ni: 0.145 0.132 0.578  0.30
Ni: 0.628 0.749 0.995  0.21
Ni: 0.628 0.995 0.749  0.21
Ni: 0.500 0.650 0.350  0.29
Ga: 0.713 0.287 0.287  -0.01
Ga: 0.287 0.713 0.713  -0.01
Ni: 0.000 0.500 0.500  0.50
Ni: 0.855 0.868 0.422  0.30
Ga: 0.000 0.000 0.000  -0.01
Ni: 0.500 0.350 0.650  0.29
Ni: 0.372 0.005 0.251  0.21
Ni: 0.372 0.251 0.005  0.21
Ni: 0.145 0.578 0.132  0.30
Ni: 0.855 0.422 0.868  0.30



What did the second record say?
# Ga3Ni11

A relaxed Ga3Ni11 crystal (PBE, Alexandria).

* space-group type: Immm, No. 71
* E_form: -0.003 eV/atom
* Fermi-level density of states: 20.066 states/eV/f.u.
* total moment: 0.209 μB/atom

Cell: 3.825 6.909 6.909 Å, 85.03 73.93 73.93°
Last column: magnetic moment on the atom in μB.
Sites, in units of the cell vectors:
Ni: 0.145 0.132 0.578  0.30
Ni: 0.628 0.749 0.995  0.21
Ni: 0.628 0.995 0.749  0.21
Ni: 0.500 0.650 0.350  0.29
Ga: 0.713 0.287 0.287  -0.01
Ga: 0.287 0.713 0.713  -0.01
Ni: 0.000 0.500 0.500  0.50
Ni: 0.855 0.868 0.422  0.30
Ga: 0.000 0.000 0.000  -0.01
Ni: 0.500 0.350 0.650  0.29
Ni: 0.372 0.005 0.251  0.21
Ni: 0.372 0.251 0.005  0.21
Ni: 0.145 0.578 0.132  0.30
Ni: 0.855 0.422 0.868  0.30